Below is Mn2CrPdC after structural relaxation, with properties calculated at the PBE level.

Geometry as CIF:
```
data_Mn2CrPdC
_chemical_formula_sum 'Mn2 Cr1 Pd1 C1'
_symmetry_space_group_name_H-M 'P 1'
_symmetry_Int_Tables_number 1
_symmetry_space_group_name_Hall 'P 1'
_cell_length_a 3.923
_cell_length_b 3.923
_cell_length_c 3.930
_cell_angle_alpha 90.00
_cell_angle_beta 90.00
_cell_angle_gamma 90.00
loop_
_atom_site_label
_atom_site_fract_x
_atom_site_fract_y
_atom_site_fract_z
Cr1 0.000 0.000 0.500
C1 0.000 0.000 0.000
Mn1 0.000 0.500 0.000
Mn2 0.500 0.000 0.000
Pd1 0.500 0.500 0.500
```

Properties
VASP energy (eV per atom): -8.398
N(E_F) (states/eV/cell): 5.19
Space-group type: P4/mmm
Magnetization (μB per cell): 7.18
Crystal system: tetragonal
Energy relative to the elements (eV per atom): 0.078